(1)
A relaxed U3P2S crystal, computed with GGA-PBE.

a b c (Å): 6.735 6.735 6.813
angles (deg): 99.51 99.51 120.18
Last column: magnetic moment on the atom in μB.
Sites, in units of the cell vectors:
P (0.751, 0.249, 0.750)  -0.07
U (0.666, 0.832, 0.499)  1.86
S (0.416, 0.584, 0.750)  -0.07
U (0.168, 0.334, 0.001)  1.87
U (0.334, 0.168, 0.501)  1.86
P (0.083, 0.917, 0.750)  -0.07
P (0.249, 0.751, 0.250)  -0.07
U (0.500, 0.000, 0.000)  1.84
S (0.584, 0.416, 0.250)  -0.07
U (0.832, 0.666, 0.999)  1.87
P (0.917, 0.083, 0.250)  -0.07
U (0.000, 0.500, 0.500)  1.85

=====

(2)
A relaxed Mo crystal, computed with GGA-PBE.

Values from the calculation:
E above lowest polymorph, eV/atom: 0.366
DFT formation energy, kJ/mol of formula units: 35.3

a b c (Å): 2.700 2.700 2.700
angles (deg): 112.12 67.88 112.12
Sites, in units of the cell vectors:
Mo (0.000, 0.000, 0.000)

=====

(3)
A relaxed DyTmNi4 crystal, computed with GGA-PBE.

Values from the calculation:
E above lowest polymorph, eV/atom: 0.404
DFT formation energy, kJ/mol of formula units: -40.4

a b c (Å): 5.334 5.334 7.984
angles (deg): 90.00 90.00 120.01
Sites, in units of the cell vectors:
Tm (0.333, 0.667, 0.500)
Ni (0.500, 0.500, 0.230)
Dy (0.000, 0.000, 0.000)
Ni (0.333, 0.667, 0.000)
Ni (0.000, 0.500, 0.770)
Ni (0.667, 0.333, 0.000)
Tm (0.667, 0.333, 0.500)
Ni (0.500, 0.000, 0.770)
Ni (0.500, 0.500, 0.770)
Dy (0.000, 0.000, 0.500)
Ni (0.500, 0.000, 0.230)
Ni (0.000, 0.500, 0.230)

=====

(4)
A relaxed Nd3Si4Au crystal, computed with GGA-PBE.

a b c (Å): 6.021 6.285 9.820
angles (deg): 90.00 90.00 90.00
Sites, in units of the cell vectors:
Nd (0.500, 0.205, 0.002)
Si (0.500, 0.721, 0.547)
Si (0.201, 0.107, 0.250)
Nd (0.500, 0.205, 0.498)
Si (0.000, 0.279, 0.453)
Si (0.701, 0.893, 0.750)
Nd (0.500, 0.709, 0.250)
Nd (0.000, 0.291, 0.750)
Nd (0.000, 0.795, 0.502)
Si (0.799, 0.107, 0.250)
Si (0.500, 0.721, 0.953)
Au (0.000, 0.520, 0.250)
Si (0.000, 0.279, 0.047)
Si (0.299, 0.893, 0.750)
Nd (0.000, 0.795, 0.998)
Au (0.500, 0.480, 0.750)

=====

(5)
A relaxed TbEr2Mg3Ir2Pt crystal, computed with GGA-PBE.

a b c (Å): 4.026 7.301 7.301
angles (deg): 120.04 90.00 90.00
Sites, in units of the cell vectors:
Pt (0.000, 0.002, 0.002)
Ir (0.500, 0.668, 0.331)
Mg (0.500, 0.247, 0.247)
Mg (0.500, 0.752, 0.001)
Tb (0.000, 0.586, 0.586)
Mg (0.500, 0.001, 0.752)
Er (0.000, 0.000, 0.412)
Er (0.000, 0.412, 0.000)
Ir (0.500, 0.331, 0.668)

=====

(6)
A relaxed GdAsClO2 crystal, computed with GGA-PBE.

a b c (Å): 7.174 3.740 7.425
angles (deg): 90.00 112.22 90.00
Sites, in units of the cell vectors:
Cl (0.598, 0.250, 0.881)
As (0.273, 0.250, 0.425)
O (0.954, 0.750, 0.826)
O (0.158, 0.250, 0.593)
As (0.727, 0.750, 0.575)
Gd (0.850, 0.750, 0.124)
O (0.842, 0.750, 0.407)
Gd (0.150, 0.250, 0.876)
Cl (0.402, 0.750, 0.119)
O (0.046, 0.250, 0.174)

=====

(7)
A relaxed Y2Lu2O5 crystal, computed with GGA-PBE.

Values from the calculation:
E above lowest polymorph, eV/atom: 0.000

a b c (Å): 9.044 3.866 3.866
angles (deg): 90.00 90.00 90.00
Last column: magnetic moment on the atom in μB.
Sites, in units of the cell vectors:
Lu (0.754, 0.500, 0.500)  0.07
Lu (0.246, 0.500, 0.500)  0.07
O (0.500, 0.500, 0.500)  0.02
O (0.847, 0.500, 0.000)  0.02
O (0.153, 0.000, 0.500)  0.02
O (0.847, 0.000, 0.500)  0.02
Y (0.500, 0.000, 0.000)  0.56
Y (0.000, 0.000, 0.000)  0.02
O (0.153, 0.500, 0.000)  0.02

=====

(8)
A relaxed NaNbAgTeSe2 crystal, computed with GGA-PBE.

a b c (Å): 7.517 7.517 10.551
angles (deg): 90.00 90.00 151.39
Last column: magnetic moment on the atom in μB.
Sites, in units of the cell vectors:
Te (0.600, 0.400, 0.750)  -0.02
Na (0.282, 0.718, 0.750)  0.00
Nb (0.500, 0.500, 0.500)  0.58
Se (0.872, 0.128, 0.540)  -0.01
Nb (0.500, 0.500, 0.000)  0.59
Se (0.128, 0.872, 0.040)  -0.01
Ag (0.042, 0.958, 0.250)  0.01
Ag (0.958, 0.042, 0.750)  0.01
Se (0.128, 0.872, 0.460)  -0.01
Te (0.400, 0.600, 0.250)  -0.02
Se (0.872, 0.128, 0.960)  -0.01
Na (0.718, 0.282, 0.250)  0.00

=====

In the order shown, the computed total energy values come out to -9.2527 -10.4821 -5.2943 -5.4307 -5.4790 -6.2075 -8.1358 -4.5644 eV/atom.